[1]
# La2AgPtO5, optimized geometry, DFT PBE-GGA
data_La2AgPtO5
_space_group_name_H-M_alt 'P 4/m b m'
_space_group_IT_number 127
_space_group_name_Hall '-P 4 2ab'
_cell_length_a 7.025
_cell_length_b 7.025
_cell_length_c 5.768
_cell_angle_alpha 90.00
_cell_angle_beta 90.00
_cell_angle_gamma 90.00
loop_
_atom_site_label
_atom_site_type_symbol
_atom_site_fract_x
_atom_site_fract_y
_atom_site_fract_z
_atom_site_occupancy
La1 La 0.180 0.320 0.000 1
Ag1 Ag 0.000 0.000 0.500 1
Pt1 Pt 0.000 0.500 0.500 1
O1 O 0.000 0.000 0.000 1
O2 O 0.134 0.634 0.248 1
# ΔE_f (raw) in kJ per mole of atoms: -187
# Spin magnetization in μB/f.u.: 0.99

[2]
# Rb2ZrCBr6, optimized geometry, DFT PBE-GGA
data_Rb2ZrCBr6
_space_group_name_H-M_alt 'I 4/m m m'
_space_group_IT_number 139
_space_group_name_Hall '-I 4 2'
_cell_length_a 7.646
_cell_length_b 7.646
_cell_length_c 11.904
_cell_angle_alpha 90.00
_cell_angle_beta 90.00
_cell_angle_gamma 90.00
loop_
_atom_site_label
_atom_site_type_symbol
_atom_site_fract_x
_atom_site_fract_y
_atom_site_fract_z
_atom_site_occupancy
Rb1 Rb 0.000 0.500 0.250 1
Zr1 Zr 0.000 0.000 0.000 1
C1 C 0.000 0.000 0.500 1
Br1 Br 0.000 0.000 0.224 1
Br2 Br 0.246 0.246 0.000 1
# ΔE_f (raw) in kJ per mole of atoms: -66
# Spin magnetization in μB/f.u.: 2.00

[3]
# SrFePCl2, optimized geometry, DFT PBE-GGA
data_SrFePCl2
_space_group_name_H-M_alt 'P 4/m m m'
_space_group_IT_number 123
_space_group_name_Hall '-P 4 2'
_cell_length_a 5.396
_cell_length_b 5.396
_cell_length_c 6.151
_cell_angle_alpha 90.00
_cell_angle_beta 90.00
_cell_angle_gamma 90.00
loop_
_atom_site_label
_atom_site_type_symbol
_atom_site_fract_x
_atom_site_fract_y
_atom_site_fract_z
_atom_site_occupancy
Sr1 Sr 0.000 0.000 0.000 1
Fe1 Fe 0.500 0.500 0.500 1
P1 P 0.000 0.000 0.500 1
Cl1 Cl 0.000 0.500 0.000 1
# Energy above the most stable polymorph in this dataset in eV/atom: 0.874
# ΔE_f (raw) in kJ per mole of atoms: 13
# Spin magnetization in μB/f.u.: 5.16

[4]
# Li2Cu3Cl8, optimized geometry, DFT PBE-GGA
data_Li2Cu3Cl8
_space_group_name_H-M_alt 'C m c e'
_space_group_IT_number 64
_space_group_name_Hall '-C 2ac 2'
_cell_length_a 7.753
_cell_length_b 15.108
_cell_length_c 9.507
_cell_angle_alpha 90.00
_cell_angle_beta 90.00
_cell_angle_gamma 90.00
loop_
_atom_site_label
_atom_site_type_symbol
_atom_site_fract_x
_atom_site_fract_y
_atom_site_fract_z
_atom_site_occupancy
Li1 Li 0.000 0.136 0.113 1
Cu1 Cu 0.000 0.000 0.500 1
Cu2 Cu 0.250 0.142 0.750 1
Cl1 Cl 0.000 0.004 0.262 1
Cl2 Cl 0.000 0.234 0.763 1
Cl3 Cl 0.234 0.119 0.516 1
# ΔE_f (raw) in kJ per mole of atoms: -80
# Spin magnetization in μB/f.u.: 3.07